# 1
Density functional theory data (SCAN) for Zr2TlIn at its PBEsol-relaxed geometry.

Cell: 3.1638 5.1823 5.2966 Å, 90.00 92.69 90.00°
Sites, in units of the cell vectors:
Zr (0.0000, 0.0000, 0.0000)
Zr (0.1163, 0.5000, 0.6318)
Tl (0.5384, 0.0000, 0.5046)
In (0.5742, 0.5000, 0.1243)

Results
Magnetic moment, μB per atom: 0.000
Density of states at the Fermi level, states/eV per atom: 0.767
Formation enthalpy at 0 K, eV/atom: -0.25
Energy, eV/atom: -42.0362
Space group: No. 6
Energy above the most stable polymorph in this dataset, meV per atom: 117

=====

# 2
Density functional theory data (SCAN) for Mn2AgSe at its PBEsol-relaxed geometry.

Cell: 5.3060 5.3060 5.3060 Å, 146.29 131.24 60.59°
Sites, in units of the cell vectors:
Mn (0.0000, 0.0000, 0.0000)
Mn (0.7513, 0.2513, 0.5000)
Ag (0.4768, 0.4768, 0.0000)
Se (0.2115, 0.7115, 0.5000)

Results
Magnetic moment, μB per atom: 1.891
Density of states at the Fermi level, states/eV per atom: 0.809
Energy, eV/atom: -21.9666
Space group: No. 44
Formation energy (no corrections), meV/atom: 22

=====

# 3
Density functional theory data (SCAN) for KCa2As at its PBEsol-relaxed geometry.

Cell: 4.1021 4.1021 8.7584 Å, 90.00 90.00 90.00°
Sites, in units of the cell vectors:
K (0.0000, 0.0000, 0.0000)
Ca (0.0000, 0.0000, 0.3690)
Ca (0.5000, 0.5000, 0.6350)
As (0.5000, 0.5000, 0.3088)

Results
Magnetic moment, μB per atom: 0.018
Density of states at the Fermi level, states/eV per atom: 0.254
Formation enthalpy at 0 K, eV/atom: -0.54
Energy, eV/atom: -12.5047
Space group: No. 99

=====

# 4
Density functional theory data (SCAN) for AsPRh2 at its PBEsol-relaxed geometry.

Cell: 4.1992 4.1992 5.0134 Å, 100.87 100.87 45.02°
Sites, in units of the cell vectors:
As (0.0000, 0.0000, 0.0000)
P (0.2158, 0.2158, 0.5485)
Rh (0.5130, 0.5130, 0.5967)
Rh (0.7392, 0.7392, 0.2278)

Results
Magnetic moment, μB per atom: 0.000
Density of states at the Fermi level, states/eV per atom: 0.506
Formation enthalpy at 0 K, eV/atom: -0.46
Energy, eV/atom: -24.9952
Space group: No. 8
Energy above the most stable polymorph in this dataset, meV per atom: 0

=====

# 5
Density functional theory data (SCAN) for Ca2Mg2Zn at its PBEsol-relaxed geometry.

Cell: 4.6224 4.6224 7.8791 Å, 90.00 90.00 120.00°
Sites, in units of the cell vectors:
Ca (0.3333, 0.6667, 0.1702)
Ca (0.6667, 0.3333, 0.8298)
Mg (0.3333, 0.6667, 0.5957)
Mg (0.6667, 0.3333, 0.4043)
Zn (0.0000, 0.0000, 0.5000)

Results
Magnetic moment, μB per atom: 0.000
Density of states at the Fermi level, states/eV per atom: 0.616
Formation enthalpy at 0 K, eV/atom: 0.00
Energy, eV/atom: -8.5543
Space group: No. 164
Energy above the most stable polymorph in this dataset, meV per atom: 141

=====

# 6
Density functional theory data (SCAN) for DyAl3Cl12 at its PBEsol-relaxed geometry.

Cell: 10.5772 10.5772 15.8075 Å, 90.00 90.00 120.00°
Sites, in units of the cell vectors:
Dy (0.0169, 0.5085, 0.0000)
Dy (0.4915, 0.5085, 0.3333)
Dy (0.4915, 0.9831, 0.6667)
Al (0.2725, 0.5449, 0.1667)
Al (0.2725, 0.7275, 0.8333)
Al (0.3614, 0.1311, 0.2684)
Al (0.3614, 0.2303, 0.7316)
Al (0.4551, 0.7275, 0.5000)
Al (0.7697, 0.1311, 0.0649)
Al (0.7697, 0.6386, 0.9351)
Al (0.8689, 0.2303, 0.6018)
Al (0.8689, 0.6386, 0.3982)
Cl (0.1610, 0.0094, 0.2062)
Cl (0.1610, 0.1517, 0.7938)
Cl (0.1683, 0.4964, 0.8532)
Cl (0.1683, 0.6719, 0.1468)
Cl (0.2075, 0.4141, 0.0535)
Cl (0.2066, 0.4141, 0.2799)
Cl (0.2066, 0.7925, 0.7201)
Cl (0.2075, 0.7934, 0.9465)
Cl (0.3281, 0.4964, 0.4802)
Cl (0.3281, 0.8317, 0.5198)
Cl (0.3380, 0.1111, 0.6123)
Cl (0.3380, 0.2268, 0.3877)
Cl (0.4858, 0.0301, 0.2902)
Cl (0.4858, 0.4557, 0.7098)
Cl (0.4953, 0.1508, 0.7960)
Cl (0.4953, 0.3445, 0.2040)
Cl (0.5036, 0.6719, 0.1865)
Cl (0.5036, 0.8317, 0.8135)
Cl (0.5443, 0.0301, 0.0431)
Cl (0.5443, 0.5142, 0.9569)
Cl (0.5859, 0.7934, 0.3868)
Cl (0.5859, 0.7925, 0.6132)
Cl (0.6555, 0.1508, 0.5373)
Cl (0.6555, 0.5047, 0.4627)
Cl (0.7732, 0.1111, 0.7210)
Cl (0.7732, 0.6620, 0.2789)
Cl (0.8483, 0.0094, 0.1271)
Cl (0.8483, 0.8390, 0.8729)
Cl (0.8492, 0.3445, 0.1293)
Cl (0.8492, 0.5047, 0.8707)
Cl (0.8889, 0.2268, 0.9456)
Cl (0.8889, 0.6620, 0.0544)
Cl (0.9699, 0.4557, 0.6235)
Cl (0.9699, 0.5142, 0.3765)
Cl (0.9906, 0.1517, 0.5395)
Cl (0.9906, 0.8390, 0.4605)

Results
Magnetic moment, μB per atom: 0.000
Density of states at the Fermi level, states/eV per atom: 0.000
Energy, eV/atom: -12.3214
Space group: No. 151
Formation energy (no corrections), meV/atom: -1897

=====

# 7
Density functional theory data (SCAN) for Hf2ScGaI at its PBEsol-relaxed geometry.

Cell: 4.9683 4.9683 5.4243 Å, 90.00 90.00 90.00°
Sites, in units of the cell vectors:
Hf (0.0000, 0.5000, 0.0000)
Hf (0.5000, 0.0000, 0.0000)
Sc (0.0000, 0.0000, 0.5000)
Ga (0.5000, 0.5000, 0.0000)
I (0.5000, 0.5000, 0.5000)

Results
Magnetic moment, μB per atom: 0.002
Density of states at the Fermi level, states/eV per atom: 1.489
Energy, eV/atom: -37.6665
Space group: No. 123
Formation energy (no corrections), meV/atom: 868

=====

# 8
Density functional theory data (SCAN) for La2PSe at its PBEsol-relaxed geometry.

Cell: 7.3905 7.3905 7.3905 Å, 33.23 33.23 33.23°
Sites, in units of the cell vectors:
La (0.2450, 0.2450, 0.2450)
La (0.7550, 0.7550, 0.7550)
P (0.5000, 0.5000, 0.5000)
Se (0.0000, 0.0000, 0.0000)

Results
Magnetic moment, μB per atom: 0.000
Density of states at the Fermi level, states/eV per atom: 0.347
Energy, eV/atom: -31.2646
Space group: No. 166
Energy above the most stable polymorph in this dataset, meV per atom: 0
Formation energy (no corrections), meV/atom: -2093

=====

# 9
Density functional theory data (SCAN) for KLiSc at its PBEsol-relaxed geometry.

Cell: 8.7889 8.7889 8.7889 Å, 158.07 158.07 31.21°
Sites, in units of the cell vectors:
K (0.0000, 0.0000, 0.0000)
Li (0.6821, 0.6821, 0.0000)
Sc (0.3066, 0.3066, 0.0000)

Results
Magnetic moment, μB per atom: 0.346
Density of states at the Fermi level, states/eV per atom: 1.199
Formation enthalpy at 0 K, eV/atom: 0.44
Energy, eV/atom: -7.8782
Space group: No. 107
Energy above the most stable polymorph in this dataset, meV per atom: 0

=====

# 10
Density functional theory data (SCAN) for Zn2ReSe at its PBEsol-relaxed geometry.

Cell: 9.7742 9.7742 9.7742 Å, 16.23 16.23 16.23°
Sites, in units of the cell vectors:
Zn (0.2417, 0.2417, 0.2417)
Zn (0.7583, 0.7583, 0.7583)
Re (0.5000, 0.5000, 0.5000)
Se (0.0000, 0.0000, 0.0000)

Results
Magnetic moment, μB per atom: 0.000
Density of states at the Fermi level, states/eV per atom: 0.311
Energy, eV/atom: -29.1784
Space group: No. 166
Energy above the most stable polymorph in this dataset, meV per atom: 0
Formation energy (no corrections), meV/atom: 373

=====

# 11
Density functional theory data (SCAN) for CdNi at its PBEsol-relaxed geometry.

Cell: 4.8022 4.8022 4.8022 Å, 133.02 133.02 68.62°
Sites, in units of the cell vectors:
Cd (0.3750, 0.6250, 0.7500)
Cd (0.6250, 0.3750, 0.2500)
Ni (0.1250, 0.8750, 0.2500)
Ni (0.8750, 0.1250, 0.7500)

Results
Magnetic moment, μB per atom: 0.000
Density of states at the Fermi level, states/eV per atom: 0.589
Formation enthalpy at 0 K, eV/atom: 0.19
Energy, eV/atom: -23.1052
Space group: No. 141

=====

# 12
Density functional theory data (SCAN) for Ba5Sb4 at its PBEsol-relaxed geometry.

Cell: 8.9935 17.6519 9.0364 Å, 90.00 90.00 90.00°
Sites, in units of the cell vectors:
Ba (0.0711, 0.1029, 0.1692)
Ba (0.0711, 0.3971, 0.1692)
Ba (0.0889, 0.6057, 0.3371)
Ba (0.0889, 0.8943, 0.3371)
Ba (0.2425, 0.2500, 0.5024)
Ba (0.2575, 0.7500, 0.0024)
Ba (0.4111, 0.1057, 0.8371)
Ba (0.4111, 0.3943, 0.8371)
Ba (0.4289, 0.6029, 0.6692)
Ba (0.4289, 0.8971, 0.6692)
Ba (0.5711, 0.1029, 0.3308)
Ba (0.5711, 0.3971, 0.3308)
Ba (0.5889, 0.6057, 0.1629)
Ba (0.5889, 0.8943, 0.1629)
Ba (0.7425, 0.2500, 0.9976)
Ba (0.7575, 0.7500, 0.4976)
Ba (0.9111, 0.1057, 0.6629)
Ba (0.9111, 0.3943, 0.6629)
Ba (0.9289, 0.6029, 0.8308)
Ba (0.9289, 0.8971, 0.8308)
Sb (0.1281, 0.2500, 0.8909)
Sb (0.1444, 0.7500, 0.6178)
Sb (0.2448, 0.0507, 0.5064)
Sb (0.2448, 0.4493, 0.5064)
Sb (0.2552, 0.5507, 0.0064)
Sb (0.2552, 0.9493, 0.0064)
Sb (0.3556, 0.2500, 0.1178)
Sb (0.3719, 0.7500, 0.3909)
Sb (0.6281, 0.2500, 0.6091)
Sb (0.6444, 0.7500, 0.8822)
Sb (0.7448, 0.0507, 0.9936)
Sb (0.7448, 0.4493, 0.9936)
Sb (0.7552, 0.5507, 0.4936)
Sb (0.7552, 0.9493, 0.4936)
Sb (0.8556, 0.2500, 0.3822)
Sb (0.8719, 0.7500, 0.1091)

Results
Magnetic moment, μB per atom: 0.000
Energy, eV/atom: -39.7186
Space group: No. 62
Formation energy (no corrections), meV/atom: -1186